[1]
Compound: LiIr3
Source: Alexandria
Functional: GGA-PBEsol
Structure: relaxed

a = 2.682 Å, b = 3.808 Å, c = 5.236 Å
α = 90.00°, β = 90.00°, γ = 90.00°
Sites, in units of the cell vectors:
Li: 0.000 0.000 0.000
Ir: 0.000 0.000 0.500
Ir: 0.500 0.500 0.244
Ir: 0.500 0.500 0.756

Properties
symmetry: Pmmm
DOS at the Fermi energy: 3.7 states/eV per cell
raw total energy: -7.8545 eV per atom

[2]
Compound: LiIr
Source: Alexandria
Functional: GGA-PBEsol
Structure: relaxed

a = 2.683 Å, b = 4.484 Å, c = 4.399 Å
α = 90.00°, β = 90.00°, γ = 90.00°
Sites, in units of the cell vectors:
Li: 0.000 0.000 0.000
Li: 0.500 0.500 0.000
Ir: 0.000 0.500 0.500
Ir: 0.500 0.000 0.500

Properties
symmetry: Cmmm
DOS at the Fermi energy: 3.2 states/eV per cell
raw total energy: -6.0545 eV per atom

[3]
Compound: LiIr3
Source: Alexandria
Functional: GGA-PBEsol
Structure: relaxed

a = 2.665 Å, b = 8.682 Å, c = 4.657 Å
α = 90.00°, β = 90.00°, γ = 90.00°
Sites, in units of the cell vectors:
Li: 0.000 0.000 0.000
Li: 0.500 0.500 0.500
Ir: 0.000 0.241 0.676
Ir: 0.000 0.500 0.985
Ir: 0.000 0.759 0.676
Ir: 0.500 0.000 0.485
Ir: 0.500 0.259 0.176
Ir: 0.500 0.741 0.176

Properties
symmetry: Imm2
DOS at the Fermi energy: 6.6 states/eV per cell
raw total energy: -7.9991 eV per atom

[4]
Compound: Li3Ir
Source: Alexandria
Functional: GGA-PBEsol
Structure: relaxed

a = 2.491 Å, b = 8.877 Å, c = 4.895 Å
α = 90.00°, β = 90.00°, γ = 90.00°
Sites, in units of the cell vectors:
Li: 0.000 0.000 0.000
Li: 0.000 0.241 0.302
Li: 0.000 0.759 0.302
Li: 0.500 0.259 0.802
Li: 0.500 0.500 0.500
Li: 0.500 0.741 0.802
Ir: 0.000 0.500 0.006
Ir: 0.500 0.000 0.506

Properties
symmetry: Imm2
DOS at the Fermi energy: 2.6 states/eV per cell
raw total energy: -3.9922 eV per atom

[5]
Compound: LiIr
Source: Alexandria
Functional: GGA-PBEsol
Structure: relaxed

a = 2.857 Å, b = 2.857 Å, c = 12.547 Å
α = 90.00°, β = 90.00°, γ = 120.00°
Sites, in units of the cell vectors:
Li: 0.000 0.000 0.250
Li: 0.000 0.000 0.750
Li: 0.333 0.667 0.250
Li: 0.667 0.333 0.750
Ir: 0.333 0.667 0.585
Ir: 0.333 0.667 0.915
Ir: 0.667 0.333 0.085
Ir: 0.667 0.333 0.415

Properties
symmetry: P6_3/mmc
DOS at the Fermi energy: 3.7 states/eV per cell
raw total energy: -5.3747 eV per atom

[6]
Compound: LiIr2
Source: Alexandria
Functional: GGA-PBEsol
Structure: relaxed

a = 9.748 Å, b = 2.667 Å, c = 6.529 Å
α = 90.00°, β = 106.77°, γ = 90.00°
Sites, in units of the cell vectors:
Li: 0.000 0.000 0.000
Li: 0.148 0.500 0.350
Li: 0.500 0.500 0.000
Li: 0.648 0.000 0.350
Ir: 0.107 0.500 0.723
Ir: 0.280 0.000 0.059
Ir: 0.330 0.000 0.684
Ir: 0.415 0.500 0.397
Ir: 0.607 0.000 0.723
Ir: 0.780 0.500 0.059
Ir: 0.830 0.500 0.684
Ir: 0.915 0.000 0.397

Properties
symmetry: Cm
DOS at the Fermi energy: 8.6 states/eV per cell
raw total energy: -7.3524 eV per atom

Respective formation energy values: 0.0 -0.3 -0.6 -0.2 1.0 -0.4 eV/f.u..
Respective V values: 53 53 108 108 89 162 Å³/cell.